Record 1
The following is a DFT calculation (GGA-PBEsol) of LiAgO3 after structural relaxation.

The space group is Pm-3m (No. 221) and the conventional cell measures 3.973, 3.973 and 3.973 Å, with angles of 90.00, 90.00 and 90.00 degrees. The distinct sites, in fractional coordinates, are Li at (0.000, 0.000, 0.000), Ag at (0.500, 0.500, 0.500) and O at (0.000, 0.500, 0.500).

The value obtained for the magnetic moment is 1.383 μB/cell.

---

Record 2
The following is a DFT calculation (GGA-PBEsol) of Li3CuS2 after structural relaxation.

The space group is Pmma (No. 51) and the conventional cell measures 7.867, 3.928 and 5.550 Å, with angles of 90.00, 90.00 and 90.00 degrees. The distinct sites, in fractional coordinates, are Li at (0.004, 0.000, 0.249), Li at (0.250, 0.500, 0.752), Cu at (0.250, 0.500, 0.258), S at (0.000, 0.500, 0.000) and S at (0.250, 0.000, 0.492).

The value obtained for the magnetic moment is 0.000 μB/cell.

---

Electronic total energy list, top to bottom, in eV per formula unit: -20.78 -25.25
Raw formation energy list, top to bottom, in meV/atom: 49 -1042
Volume list, top to bottom, in A^3/atom: 12.5 14.3